Compound: TbFeSi2
Source: Alexandria via LeMat-Bulk
Functional: GGA-PBE
Structure: relaxed

The structure in POSCAR format:
```
TbFeSi2
1.0
-1.277 2.127 -3.093
-3.878 0.278 1.792
3.800 6.398 2.831
Si Tb Fe
4 2 2
Cartesian
0.894 3.740 0.932 Si
-2.249 5.063 0.598 Si
0.705 7.496 1.052 Si
-2.060 1.306 0.478 Si
-0.784 5.863 3.084 Tb
-0.571 2.940 -1.554 Tb
-0.132 5.603 0.095 Fe
-1.223 3.200 1.435 Fe
```

Output
E_form (uncorrected): -0.725 eV/atom